A plane-wave DFT calculation with PBE was carried out for a relaxed Ca2PmEr crystal.

Cell and atoms, written as CIF:
```
data_Ca2PmEr
_chemical_formula_sum 'Ca2 Pm1 Er1'
_cell_length_a 5.8402
_cell_length_b 5.8402
_cell_length_c 4.1960
_cell_angle_alpha 90.00
_cell_angle_beta 90.00
_cell_angle_gamma 90.00
_symmetry_space_group_name_H-M 'P 4/m m m'
_symmetry_Int_Tables_number 123
_symmetry_space_group_name_Hall '-P 4 2'
loop_
_atom_site_label
_atom_site_type_symbol
_atom_site_fract_x
_atom_site_fract_y
_atom_site_fract_z
Ca1 Ca 0.0000 0.5000 0.0000
Pm1 Pm 0.0000 0.0000 0.5000
Er1 Er 0.5000 0.5000 0.5000
```

Summary:
DFT total energy	-3.158	eV/atom
calculated formation energy	0.171	eV/atom
N(E_F)	6.02	states/eV/f.u.
E above lowest polymorph	0.053	eV per atom